# 1
Density functional theory data (GGA-PBE) for crystalline LiYSN2 at its relaxed geometry.

The structure in POSCAR format:
```
LiYSN2
1.0
4.578 0.000 0.000
0.000 4.578 0.000
0.000 0.000 5.382
Li Y S N
1 1 1 2
Cartesian
0.000 0.000 0.000 Li
2.289 2.289 2.691 Y
2.289 2.289 0.000 S
0.000 2.289 2.691 N
2.289 0.000 2.691 N
```

Results
Mass density: 2.3 g/cm3
SG: P4/mmm, No. 123
Uncorrected formation energy: 0.372 eV/atom
ΔE to the lowest computed polymorph: 30 meV/atom
Total magnetization: 4.0 Bohr magnetons per cell

---

# 2
Density functional theory data (GGA-PBE) for crystalline LiZnSN2 at its relaxed geometry.

The structure in POSCAR format:
```
LiZnSN2
1.0
3.946 0.000 0.000
0.000 3.946 0.000
0.000 0.000 5.063
Li Zn S N
1 1 1 2
Cartesian
0.000 0.000 0.000 Li
1.973 1.973 2.532 Zn
1.973 1.973 0.000 S
0.000 1.973 2.532 N
1.973 0.000 2.532 N
```

Results
Mass density: 2.8 g/cm3
SG: P4/mmm, No. 123
Uncorrected formation energy: 1.149 eV/atom
ΔE to the lowest computed polymorph: 0 meV/atom
Total magnetization: 4.0 Bohr magnetons per cell

---

# 3
Density functional theory data (GGA-PBE) for crystalline LiZnSN2 at its relaxed geometry.

The structure in POSCAR format:
```
LiZnSN2
1.0
3.579 0.000 0.000
0.000 3.579 0.000
0.000 0.000 5.448
Li Zn S N
1 1 1 2
Cartesian
0.000 0.000 0.000 Li
1.790 1.790 2.724 Zn
0.000 0.000 2.724 S
0.000 1.790 0.000 N
1.790 0.000 0.000 N
```

Results
Mass density: 3.2 g/cm3
SG: P4/mmm, No. 123
Uncorrected formation energy: 1.485 eV/atom
ΔE to the lowest computed polymorph: 336 meV/atom
Total magnetization: 2.6 Bohr magnetons per cell

---

# 4
Density functional theory data (GGA-PBE) for crystalline LiSb3N at its relaxed geometry.

The structure in POSCAR format:
```
LiSb3N
1.0
4.836 0.000 0.000
0.000 4.836 0.000
0.000 0.000 4.836
Li Sb N
1 3 1
Cartesian
0.000 0.000 0.000 Li
0.000 0.000 2.418 Sb
0.000 2.418 0.000 Sb
2.418 0.000 0.000 Sb
2.418 2.418 2.418 N
```

Results
Mass density: 5.7 g/cm3
SG: Pm-3m, No. 221
Uncorrected formation energy: 1.376 eV/atom
ΔE to the lowest computed polymorph: 981 meV/atom
Total magnetization: 0.0 Bohr magnetons per cell

---

# 5
Density functional theory data (GGA-PBE) for crystalline LiSbN2 at its relaxed geometry.

The structure in POSCAR format:
```
LiSbN2
1.0
4.862 0.000 0.000
0.000 4.862 0.000
0.000 0.000 9.192
Li Sb N
4 4 8
Cartesian
0.000 0.000 0.000 Li
0.000 2.431 2.298 Li
2.431 0.000 6.894 Li
2.431 2.431 4.596 Li
0.000 0.000 4.596 Sb
0.000 2.431 6.894 Sb
2.431 0.000 2.298 Sb
2.431 2.431 0.000 Sb
1.133 1.215 5.745 N
1.215 3.564 8.043 N
1.215 3.728 3.447 N
1.298 1.215 1.149 N
3.564 3.646 1.149 N
3.646 1.133 3.447 N
3.646 1.298 8.043 N
3.728 3.646 5.745 N
```

Results
Mass density: 4.8 g/cm3
SG: I-42d, No. 122
Uncorrected formation energy: 0.038 eV/atom
Total magnetization: 0.0 Bohr magnetons per cell

---

# 6
Density functional theory data (GGA-PBE) for crystalline LiSbN2 at its relaxed geometry.

The structure in POSCAR format:
```
LiSbN2
1.0
5.778 0.000 0.000
0.000 6.957 0.000
0.000 0.000 5.436
Li Sb N
4 4 8
Cartesian
0.479 0.871 0.000 Li
2.410 4.349 2.718 Li
3.368 2.608 0.000 Li
5.299 6.086 2.718 Li
0.470 4.355 0.021 Sb
2.420 0.877 2.739 Sb
3.359 6.080 0.021 Sb
5.309 2.602 2.739 Sb
0.377 4.283 2.039 N
0.506 0.941 2.120 N
2.383 4.419 4.838 N
2.513 0.804 4.757 N
3.266 6.152 2.039 N
3.395 2.538 2.120 N
5.272 6.016 4.838 N
5.402 2.674 4.757 N
```

Results
Mass density: 4.8 g/cm3
SG: Pna2_1, No. 33
Uncorrected formation energy: 0.032 eV/atom
Total magnetization: 0.0 Bohr magnetons per cell

---

# 7
Density functional theory data (GGA-PBE) for crystalline Li2SbN at its relaxed geometry.

The structure in POSCAR format:
```
Li2SbN
1.0
6.144 0.000 0.000
0.000 6.144 0.000
0.000 0.000 6.144
Li Sb N
8 4 4
Cartesian
1.536 1.536 1.536 Li
1.536 1.536 4.608 Li
1.536 4.608 1.536 Li
1.536 4.608 4.608 Li
4.608 1.536 1.536 Li
4.608 1.536 4.608 Li
4.608 4.608 1.536 Li
4.608 4.608 4.608 Li
0.000 0.000 0.000 Sb
0.000 3.072 3.072 Sb
3.072 0.000 3.072 Sb
3.072 3.072 0.000 Sb
0.000 0.000 3.072 N
0.000 3.072 0.000 N
3.072 0.000 0.000 N
3.072 3.072 3.072 N
```

Results
Mass density: 4.3 g/cm3
SG: Fm-3m, No. 225
Uncorrected formation energy: 0.515 eV/atom
ΔE to the lowest computed polymorph: 471 meV/atom
Total magnetization: 0.0 Bohr magnetons per cell

---

# 8
Density functional theory data (GGA-PBE) for crystalline Li8SbN2 at its relaxed geometry.

The structure in POSCAR format:
```
Li8SbN2
1.0
3.321 -5.204 0.000
3.321 5.204 0.000
-0.424 0.000 3.996
Li Sb N
8 1 2
Cartesian
0.322 0.000 2.934 Li
1.850 1.600 1.825 Li
3.321 2.905 0.000 Li
1.850 -1.600 1.825 Li
4.366 1.600 2.172 Li
3.321 -2.905 0.000 Li
4.366 -1.600 2.172 Li
5.895 0.000 1.062 Li
3.321 0.000 0.000 Sb
3.108 3.393 1.998 N
3.108 -3.393 1.998 N
```

Results
Mass density: 2.5 g/cm3
SG: C2/m, No. 12
Uncorrected formation energy: -0.391 eV/atom
Total magnetization: 0.0 Bohr magnetons per cell